[1]
Here is a relaxed structure of PaFeCoB from Alexandria. Energies are from PBE.

Results
As for the space-group type: Amm2. For the formation energy, the calculation gives -0.211 eV per atom.

Cell lengths 3.7356, 4.5743, 4.5743 Å; angles 44.49, 90.00, 90.00 degrees
Closest atoms and distances in Å follow each position.
Fractional positions:
Pa  0.0000  0.0000  0.0000  1 Fe 2.21
Fe  0.0000  0.2611  0.2611  2 B 2.07, 1 Pa 2.21
Co  0.5000  0.7354  0.7354  2 B 2.06
B  0.5000  0.3662  0.3662  2 Co 2.06, 2 Fe 2.07



[2]
Here is a relaxed structure of VCoTc from Alexandria. Energies are from PBE.

Results
As for the space-group type: I4mm. For the formation energy, the calculation gives -0.016 eV per atom.

Cell lengths 4.8399, 4.8399, 4.8399 Å; angles 143.79, 143.79, 52.15 degrees
Closest atoms and distances in Å follow each position.
Fractional positions:
V  0.0000  0.0000  0.0000  4 Tc 2.54, 4 Co 2.55
Co  0.3384  0.3384  0.0000  4 V 2.55, 5 Tc 2.64-2.79
Tc  0.6595  0.6595  0.0000  4 V 2.54, 5 Co 2.64-2.79



[3]
Here is a relaxed structure of CsTe2RhN from Alexandria. Energies are from PBE.

Results
Its raw formation energy is 2.251 eV per atom. As for the space-group type: P4/mmm.

Cell lengths 6.3813, 6.3813, 4.1505 Å; angles 90.00, 90.00, 90.00 degrees
Closest atoms and distances in Å follow each position.
Fractional positions:
Cs  0.0000  0.0000  0.0000  2 N 2.08
Te  0.0000  0.5000  0.0000  2 Cs 3.19
Te  0.5000  0.0000  0.0000  2 Cs 3.19
Rh  0.5000  0.5000  0.5000  8 Te 3.81, 2 Rh 4.15
N  0.0000  0.0000  0.5000  2 Cs 2.08



[4]
Here is a relaxed structure of Rb3InOs from Alexandria. Energies are from PBE.

Results
As for the space-group type: Pm-3m. For the formation energy, the calculation gives 1.350 eV per atom.

Cell lengths 6.3025, 6.3025, 6.3025 Å; angles 90.00, 90.00, 90.00 degrees
Closest atoms and distances in Å follow each position.
Fractional positions:
Rb  0.0000  0.0000  0.5000  2 Os 3.15
Rb  0.0000  0.5000  0.0000  2 Os 3.15
Rb  0.5000  0.0000  0.0000  2 Os 3.15
In  0.5000  0.5000  0.5000  12 Rb 4.46
Os  0.0000  0.0000  0.0000  6 Rb 3.15



Number 1: M_tot 0.17 μB/cell. Number 2: M_tot 1.92 μB/cell. Number 3: M_tot 2.32 μB/cell. Number 4: M_tot 1.36 μB/cell.